DFT (PBE) results for an optimized crystal structure of MgP2OsO.

a b c (Å): 4.8459 4.8459 3.6869
angles (deg): 90.00 90.00 90.00
Sites, in units of the cell vectors:
Mg1 0.0000 0.0000 0.0000
P1 0.0000 0.5000 0.5000
P2 0.5000 0.0000 0.5000
Os1 0.5000 0.5000 0.5000
O1 0.5000 0.5000 0.0000

Computed properties:
Total moment = 0.000 μB/f.u.
E_tot = -5.750 eV/atom
ΔE to the lowest computed polymorph = 0 meV per atom
DOS at the Fermi energy = 5.07 states/eV per cell
Energy relative to the elements, uncorrected = -0.029 eV per atom